# GGA+U Fe2O3, relaxed
# energy: -132.3 eV per cell
# calculated volume: 10.3 Å³ per atom
# total magnetic moment: 10.000 μB/f.u.
data_Fe2O3
_cell_length_a 7.5031
_cell_length_b 5.1712
_cell_length_c 5.3158
_cell_angle_alpha 90.00
_cell_angle_beta 90.00
_cell_angle_gamma 90.00
_space_group_name_H-M_alt 'P b c n'
_space_group_IT_number 60
_space_group_name_Hall '-P 2n 2ab'
loop_
_atom_site_label
_atom_site_fract_x
_atom_site_fract_y
_atom_site_fract_z
Fe1 0.1113 0.2490 0.0309
O1 0.0000 0.0476 0.7500
O2 0.1531 0.3919 0.3978